# 1
# ScCo2AuC

A relaxed structure of ScCo2AuC (PBE, Alexandria via LeMat-Bulk).

Output
Its space group is P4/mmm (123). The formation energy comes out at -0.85 eV per formula unit. As for the volume: 13.01 A^3/atom.

a b c (Å): 3.8344 3.8344 4.4259
angles (deg): 90.00 90.00 90.00
Sites, in units of the cell vectors:
Sc (0.0000, 0.0000, 0.0000)
Co (0.0000, 0.5000, 0.5000)
Co (0.5000, 0.0000, 0.5000)
Au (0.5000, 0.5000, 0.0000)
C (0.0000, 0.0000, 0.5000)

# 2
# K2BeSi

A relaxed structure of K2BeSi (PBE, Alexandria via LeMat-Bulk).

Output
For the energy above the lowest structure with this stoichiometry, the calculation gives 44 meV per atom. Its space group is Cm (8). The value obtained for the energy relative to the elements, uncorrected is 0.209 eV per atom. As for the volume: 33.65 A^3/atom.

a b c (Å): 6.9954 4.0333 9.8269
angles (deg): 90.00 103.88 90.00
Sites, in units of the cell vectors:
K (0.0000, 0.0000, 0.0000)
K (0.1733, 0.0000, 0.5145)
K (0.5000, 0.5000, 0.0000)
K (0.6733, 0.5000, 0.5145)
Be (0.4201, 0.0000, 0.2575)
Be (0.9201, 0.5000, 0.2575)
Si (0.2529, 0.5000, 0.2573)
Si (0.7529, 0.0000, 0.2573)

| no. | E_tot (eV per atom) |
| --- | --- |
| 1 | -6.78 |
| 2 | -2.63 |